Entry from Alexandria: an optimized crystal structure of Ca5UPt6 (PBE).

a b c (Å): 4.9535 7.0926 14.7673
angles (deg): 90.00 90.00 90.00
Space group Immm (No. 71)
Inequivalent atoms, fractional coordinates:
Ca (0.0000, 0.0000, 0.0000) [2 per cell]
Ca (0.0000, 0.0000, 0.3202) [4 per cell]
Ca (0.0000, 0.5000, 0.3389) [4 per cell]
U (0.0000, 0.5000, 0.0000) [2 per cell]
Pt (0.0000, 0.2158, 0.5000) [4 per cell]
Pt (0.0000, 0.2716, 0.1536) [8 per cell]

## Properties
The total moment is 1.87 μB per formula unit. The calculation puts the total DFT energy (no corrections) at -5.6569 eV per atom. The calculation puts the formation energy at -861.8 meV per atom.

Entry from Alexandria: an optimized crystal structure of CaU2Pt9 (PBE).

a b c (Å): 4.1482 4.1482 12.3375
angles (deg): 90.00 90.00 90.00
Space group P4/mmm (No. 123)
Inequivalent atoms, fractional coordinates:
Ca (0.0000, 0.0000, 0.0000) [1 per cell]
U (0.0000, 0.0000, 0.3289) [2 per cell]
Pt (0.0000, 0.5000, 0.1705) [4 per cell]
Pt (0.0000, 0.5000, 0.5000) [2 per cell]
Pt (0.5000, 0.5000, 0.0000) [1 per cell]
Pt (0.5000, 0.5000, 0.3345) [2 per cell]

## Properties
The total moment is 2.54 μB per formula unit. The calculation puts the total DFT energy (no corrections) at -7.3218 eV per atom. The calculation puts the formation energy at -743.0 meV per atom.

Entry from Alexandria: an optimized crystal structure of CaV2Pt2 (PBE).

a b c (Å): 7.8041 7.8041 2.8076
angles (deg): 90.00 90.00 90.00
Space group P4/mbm (No. 127)
Inequivalent atoms, fractional coordinates:
Ca (0.0000, 0.0000, 0.0000) [2 per cell]
V (0.1628, 0.3372, 0.5000) [4 per cell]
Pt (0.1313, 0.6313, 0.0000) [4 per cell]

## Properties
The total moment is 2.33 μB per formula unit. The calculation puts the total DFT energy (no corrections) at -6.7347 eV per atom. The calculation puts the formation energy at -270.6 meV per atom. The calculation puts the energy above the most stable polymorph in this dataset at 141 meV per atom.

Entry from Alexandria: an optimized crystal structure of CaV2Pt2 (PBE).

a b c (Å): 7.8039 7.8039 2.7609
angles (deg): 90.00 90.00 90.00
Space group P4/mbm (No. 127)
Inequivalent atoms, fractional coordinates:
Ca (0.0000, 0.0000, 0.0000) [2 per cell]
V (0.1091, 0.3909, 0.0000) [4 per cell]
Pt (0.1789, 0.6789, 0.5000) [4 per cell]

## Properties
The total moment is 0.00 μB per formula unit. The calculation puts the total DFT energy (no corrections) at -6.8761 eV per atom. The calculation puts the formation energy at -412.0 meV per atom. The calculation puts the energy above the most stable polymorph in this dataset at 0 meV per atom.

Entry from Alexandria: an optimized crystal structure of Ca2VPt (PBE).

a b c (Å): 10.3363 10.3363 4.9104
angles (deg): 90.00 90.00 90.00
Space group I-42d (No. 122)
Inequivalent atoms, fractional coordinates:
Ca (0.0981, 0.2500, 0.1250) [8 per cell]
V (0.0000, 0.0000, 0.5000) [4 per cell]
Pt (0.0000, 0.0000, 0.0000) [4 per cell]

## Properties
The total moment is 3.20 μB per formula unit. The calculation puts the total DFT energy (no corrections) at -4.7124 eV per atom. The calculation puts the formation energy at 78.2 meV per atom. The calculation puts the energy above the most stable polymorph in this dataset at 97 meV per atom.

Entry from Alexandria: an optimized crystal structure of CaVPt3 (PBE).

a b c (Å): 4.7219 4.7219 4.7219
angles (deg): 90.00 90.00 90.00
Space group Pm-3m (No. 221)
Inequivalent atoms, fractional coordinates:
Ca (0.0000, 0.0000, 0.0000) [1 per cell]
V (0.5000, 0.5000, 0.5000) [1 per cell]
Pt (0.0000, 0.5000, 0.5000) [3 per cell]

## Properties
The total moment is 0.00 μB per formula unit. The calculation puts the total DFT energy (no corrections) at -5.9438 eV per atom. The calculation puts the formation energy at -95.3 meV per atom. The calculation puts the energy above the most stable polymorph in this dataset at 0 meV per atom.

Entry from Alexandria: an optimized crystal structure of CaV2Pt2 (PBE).

a b c (Å): 4.1834 4.1834 10.9171
angles (deg): 90.00 90.00 90.00
Space group I4/mmm (No. 139)
Inequivalent atoms, fractional coordinates:
Ca (0.0000, 0.0000, 0.0000) [2 per cell]
V (0.0000, 0.5000, 0.2500) [4 per cell]
Pt (0.0000, 0.0000, 0.3795) [4 per cell]

## Properties
The total moment is 2.10 μB per formula unit. The calculation puts the total DFT energy (no corrections) at -6.8577 eV per atom. The calculation puts the formation energy at -393.6 meV per atom. The calculation puts the energy above the most stable polymorph in this dataset at 18 meV per atom.

Entry from Alexandria: an optimized crystal structure of Ca2VPt (PBE).

a b c (Å): 7.1453 7.1453 7.1453
angles (deg): 90.00 90.00 90.00
Space group Fm-3m (No. 225)
Inequivalent atoms, fractional coordinates:
Ca (0.2500, 0.2500, 0.2500) [8 per cell]
V (0.0000, 0.0000, 0.0000) [4 per cell]
Pt (0.0000, 0.0000, 0.5000) [4 per cell]

## Properties
The total moment is 4.66 μB per formula unit. The calculation puts the total DFT energy (no corrections) at -4.8090 eV per atom. The calculation puts the formation energy at -18.3 meV per atom. The calculation puts the energy above the most stable polymorph in this dataset at 0 meV per atom.

Entry from Alexandria: an optimized crystal structure of CaV3Pt (PBE).

a b c (Å): 4.8448 4.8448 4.8448
angles (deg): 90.00 90.00 90.00
Space group Pm-3m (No. 221)
Inequivalent atoms, fractional coordinates:
Ca (0.0000, 0.0000, 0.0000) [1 per cell]
V (0.0000, 0.5000, 0.5000) [3 per cell]
Pt (0.5000, 0.5000, 0.5000) [1 per cell]

## Properties
The total moment is 6.11 μB per formula unit. The calculation puts the total DFT energy (no corrections) at -6.3464 eV per atom. The calculation puts the formation energy at 733.2 meV per atom. The calculation puts the energy above the most stable polymorph in this dataset at 0 meV per atom.

Entry from Alexandria: an optimized crystal structure of CaV3Pt (PBE).

a b c (Å): 4.2912 4.2912 4.2912
angles (deg): 90.00 90.00 90.00
Space group Pm-3m (No. 221)
Inequivalent atoms, fractional coordinates:
Ca (0.0000, 0.0000, 0.0000) [1 per cell]
V (0.0000, 0.0000, 0.5000) [3 per cell]
Pt (0.5000, 0.5000, 0.5000) [1 per cell]

## Properties
The total moment is 0.00 μB per formula unit. The calculation puts the total DFT energy (no corrections) at -5.1011 eV per atom. The calculation puts the formation energy at 1978.6 meV per atom. The calculation puts the energy above the most stable polymorph in this dataset at 1245 meV per atom.

Entry from Alexandria: an optimized crystal structure of CaVPt (PBE).

a b c (Å): 3.6269 16.1255 4.4651
angles (deg): 90.00 90.00 90.00
Space group Cmcm (No. 63)
Inequivalent atoms, fractional coordinates:
Ca (0.0000, 0.1636, 0.2500) [4 per cell]
V (0.0000, 0.5000, 0.0000) [4 per cell]
Pt (0.0000, 0.3553, 0.2500) [4 per cell]

## Properties
The total moment is 0.00 μB per formula unit. The calculation puts the total DFT energy (no corrections) at -5.7267 eV per atom. The calculation puts the formation energy at -6.4 meV per atom.

Entry from Alexandria: an optimized crystal structure of CaPt2W (PBE).

a b c (Å): 3.3536 3.3536 6.8360
angles (deg): 90.00 90.00 90.00
Space group P4mm (No. 99)
Inequivalent atoms, fractional coordinates:
Ca (0.0000, 0.0000, 0.0000) [1 per cell]
Pt (0.0000, 0.0000, 0.4991) [1 per cell]
Pt (0.5000, 0.5000, 0.2688) [1 per cell]
W (0.5000, 0.5000, 0.6664) [1 per cell]

## Properties
The total moment is 0.00 μB per formula unit. The calculation puts the total DFT energy (no corrections) at -6.7377 eV per atom. The calculation puts the formation energy at 21.4 meV per atom. The calculation puts the energy above the most stable polymorph in this dataset at 377 meV per atom.

Entry from Alexandria: an optimized crystal structure of CaPt2W (PBE).

a b c (Å): 2.9201 2.9201 28.4180
angles (deg): 90.00 90.00 120.00
Space group R-3m (No. 166, hexagonal axes)
Inequivalent atoms, fractional coordinates:
Ca (0.0000, 0.0000, 0.0000) [3 per cell]
Pt (0.0000, 0.0000, 0.2454) [6 per cell]
W (0.0000, 0.0000, 0.5000) [3 per cell]

## Properties
The total moment is 0.00 μB per formula unit. The calculation puts the total DFT energy (no corrections) at -6.7044 eV per atom. The calculation puts the formation energy at 54.7 meV per atom. The calculation puts the energy above the most stable polymorph in this dataset at 411 meV per atom.

Entry from Alexandria: an optimized crystal structure of Ca2PtW (PBE).

a b c (Å): 3.0100 3.0100 9.1629
angles (deg): 90.00 90.00 90.00
Space group P4/mmm (No. 123)
Inequivalent atoms, fractional coordinates:
Ca (0.0000, 0.0000, 0.2300) [2 per cell]
Pt (0.5000, 0.5000, 0.0000) [1 per cell]
W (0.5000, 0.5000, 0.5000) [1 per cell]

## Properties
The total moment is 0.00 μB per formula unit. The calculation puts the total DFT energy (no corrections) at -5.5481 eV per atom. The calculation puts the formation energy at 201.2 meV per atom. The calculation puts the energy above the most stable polymorph in this dataset at 82 meV per atom.

Entry from Alexandria: an optimized crystal structure of CaPt2W (PBE).

a b c (Å): 6.0586 6.0586 12.3678
angles (deg): 90.00 90.00 90.00
Space group I-42d (No. 122)
Inequivalent atoms, fractional coordinates:
Ca (0.0000, 0.0000, 0.0000) [4 per cell]
Pt (0.1902, 0.2500, 0.6250) [8 per cell]
W (0.0000, 0.0000, 0.5000) [4 per cell]

## Properties
The total moment is 0.00 μB per formula unit. The calculation puts the total DFT energy (no corrections) at -6.3187 eV per atom. The calculation puts the formation energy at 440.4 meV per atom. The calculation puts the energy above the most stable polymorph in this dataset at 796 meV per atom.

Entry from Alexandria: an optimized crystal structure of CaPtW4 (PBE).

a b c (Å): 7.6042 7.6042 7.6042
angles (deg): 90.00 90.00 90.00
Space group F-43m (No. 216)
Inequivalent atoms, fractional coordinates:
Ca (0.0000, 0.0000, 0.0000) [4 per cell]
Pt (0.2500, 0.2500, 0.7500) [4 per cell]
W (0.1268, 0.1268, 0.3732) [16 per cell]

## Properties
The total moment is 0.00 μB per formula unit. The calculation puts the total DFT energy (no corrections) at -9.4944 eV per atom. The calculation puts the formation energy at 481.5 meV per atom.

Entry from Alexandria: an optimized crystal structure of Ca2PtW (PBE).

a b c (Å): 7.1032 7.1032 7.1032
angles (deg): 90.00 90.00 90.00
Space group Fm-3m (No. 225)
Inequivalent atoms, fractional coordinates:
Ca (0.2500, 0.2500, 0.2500) [8 per cell]
Pt (0.0000, 0.0000, 0.0000) [4 per cell]
W (0.0000, 0.0000, 0.5000) [4 per cell]

## Properties
The total moment is 3.53 μB per formula unit. The calculation puts the total DFT energy (no corrections) at -5.2079 eV per atom. The calculation puts the formation energy at 541.4 meV per atom. The calculation puts the energy above the most stable polymorph in this dataset at 422 meV per atom.

Entry from Alexandria: an optimized crystal structure of Ca2PtW (PBE).

a b c (Å): 10.2014 2.9690 5.5832
angles (deg): 90.00 101.27 90.00
Space group C2/m (No. 12)
Inequivalent atoms, fractional coordinates:
Ca (0.2345, 0.0000, 0.2439) [4 per cell]
Pt (0.0000, 0.5000, 0.0000) [2 per cell]
W (0.0000, 0.0000, 0.5000) [2 per cell]

## Properties
The total moment is 0.79 μB per formula unit. The calculation puts the total DFT energy (no corrections) at -5.2634 eV per atom. The calculation puts the formation energy at 485.9 meV per atom. The calculation puts the energy above the most stable polymorph in this dataset at 366 meV per atom.

Entry from Alexandria: an optimized crystal structure of Ca2PtW (PBE).

a b c (Å): 6.2574 9.1831 2.8956
angles (deg): 90.00 90.00 90.00
Space group Cmmm (No. 65)
Inequivalent atoms, fractional coordinates:
Ca (0.2500, 0.2500, 0.0000) [4 per cell]
Pt (0.0000, 0.0000, 0.5000) [2 per cell]
W (0.0000, 0.5000, 0.5000) [2 per cell]

## Properties
The total moment is 0.03 μB per formula unit. The calculation puts the total DFT energy (no corrections) at -5.3455 eV per atom. The calculation puts the formation energy at 403.7 meV per atom. The calculation puts the energy above the most stable polymorph in this dataset at 284 meV per atom.

Entry from Alexandria: an optimized crystal structure of Ca2PtW (PBE).

a b c (Å): 4.1992 4.2455 4.6819
angles (deg): 90.00 90.00 90.00
Space group Pmmm (No. 47)
Inequivalent atoms, fractional coordinates:
Ca (0.0000, 0.0000, 0.0000) [1 per cell]
Ca (0.5000, 0.5000, 0.0000) [1 per cell]
Pt (0.0000, 0.5000, 0.5000) [1 per cell]
W (0.5000, 0.0000, 0.5000) [1 per cell]

## Properties
The total moment is 1.55 μB per formula unit. The calculation puts the total DFT energy (no corrections) at -5.2902 eV per atom. The calculation puts the formation energy at 459.1 meV per atom. The calculation puts the energy above the most stable polymorph in this dataset at 339 meV per atom.